DFT (PBE) results for a relaxed structure of K3Ca3TaTe8.

As for the raw formation energy: -0.96 eV/atom.

The structure belongs to space group C2/m (No. 12); the cell edges are 15.097, 8.770 and 10.023 Å and the angles 90.00°, 119.94° and 90.00°. The distinct sites, in fractional coordinates, are K at (0.000, 0.000, 0.000), K at (0.250, 0.250, 0.000), Ca at (0.000, 0.500, 0.500), Ca at (0.250, 0.250, 0.500), Ta at (0.000, 0.000, 0.500), Te at (0.009, 0.223, 0.303), Te at (0.215, 0.000, 0.697) and Te at (0.240, 0.500, 0.718).

DFT (PBE) results for a relaxed structure of Tm4CuIr2.

For the offset from the most stable computed form, the calculation gives 0.000 eV/atom. The value obtained for the formation energy is -483 kJ/mol of formula units.

The structure belongs to space group R-3m (No. 166, hexagonal axes); the cell edges are 4.7697, 4.7697 and 23.3385 Å and the angles 90.00°, 90.00° and 120.00°. The distinct sites, in fractional coordinates, are Tm at (0.0000, 0.0000, 0.1228), Tm at (0.0000, 0.0000, 0.3734), Cu at (0.0000, 0.0000, 0.5000) and Ir at (0.0000, 0.0000, 0.2485).

DFT (PBE) results for a relaxed structure of CdPOs4.

The value obtained for the formation energy is 580 kJ/mol of formula units.

The structure belongs to space group F-43m (No. 216); the cell edges are 7.379, 7.379 and 7.379 Å and the angles 90.00°, 90.00° and 90.00°. The distinct sites, in fractional coordinates, are Cd at (0.000, 0.000, 0.000), P at (0.250, 0.250, 0.250) and Os at (0.125, 0.125, 0.625).

DFT (PBE) results for a relaxed structure of Pr2ZrScAs4.

The value obtained for the formation energy is -1052 kJ/mol of formula units.

The structure belongs to space group P2/m (No. 10); the cell edges are 7.059, 4.081 and 7.090 Å and the angles 90.00°, 109.34° and 90.00°. The distinct sites, in fractional coordinates, are Pr at (0.000, 0.000, 0.000), Pr at (0.500, 0.500, 0.000), Zr at (0.000, 0.500, 0.500), Sc at (0.500, 0.000, 0.500), As at (0.241, 0.000, 0.724) and As at (0.259, 0.500, 0.277).

DFT (PBE) results for a relaxed structure of MoS2NCl.

As for the raw formation energy: 0.39 eV/atom. For the offset from the most stable computed form, the calculation gives 0.000 eV/atom.

The structure belongs to space group P4/mmm (No. 123); the cell edges are 4.792, 4.792 and 3.864 Å and the angles 90.00°, 90.00° and 90.00°. The distinct sites, in fractional coordinates, are Mo at (0.000, 0.000, 0.000), S at (0.000, 0.500, 0.000), N at (0.000, 0.000, 0.500) and Cl at (0.500, 0.500, 0.500).

DFT (PBE) results for a relaxed structure of Pm4Y2Ho3.

For the offset from the most stable computed form, the calculation gives 0.000 eV/atom. The value obtained for the formation energy is 17 kJ/mol of formula units.

The structure belongs to space group C2/m (No. 12); the cell edges are 15.249, 5.073 and 8.032 Å and the angles 90.00°, 108.43° and 90.00°. The distinct sites, in fractional coordinates, are Pm at (0.055, 0.000, 0.333), Pm at (0.223, 0.500, 0.334), Y at (0.166, 0.000, 0.000), Ho at (0.000, 0.500, 0.000) and Ho at (0.111, 0.500, 0.668).

DFT (PBE) results for a relaxed structure of Pr3SmIn2.

For the offset from the most stable computed form, the calculation gives 0.045 eV/atom. The value obtained for the formation energy is -175 kJ/mol of formula units.

The structure belongs to space group Cmmm (No. 65); the cell edges are 5.077, 15.740 and 4.662 Å and the angles 90.00°, 90.00° and 90.00°. The distinct sites, in fractional coordinates, are Pr at (0.000, 0.000, 0.000), Pr at (0.000, 0.326, 0.000), Sm at (0.000, 0.500, 0.500) and In at (0.000, 0.157, 0.500).

DFT (PBE) results for a relaxed structure of Ac2Mg5Tl4.

The value obtained for the formation energy is -121 kJ/mol of formula units.

The structure belongs to space group Fmmm (No. 69); the cell edges are 6.578, 11.383 and 17.109 Å and the angles 90.00°, 90.00° and 90.00°. The distinct sites, in fractional coordinates, are Ac at (0.000, 0.000, 0.138), Mg at (0.000, 0.000, 0.500), Mg at (0.250, 0.250, 0.000), Mg at (0.250, 0.250, 0.250) and Tl at (0.000, 0.139, 0.362).